RePCl2: relaxed, GGA-PBEsol.

Results
Raw formation energy = -313 meV/atom
Uncorrected energy = -6.10 eV/atom

a b c (Å): 3.2373 3.2373 8.3281
angles (deg): 89.19 89.19 59.99
Sites, in units of the cell vectors:
P1 0.6268 0.6268 0.5499
Cl1 0.9508 0.9508 0.9323
Cl2 0.6327 0.6327 0.3083
Re1 0.2897 0.2897 0.7095

***

BeSb2AuI: relaxed, GGA-PBEsol.

Results
Raw formation energy = 619 meV/atom
Uncorrected energy = -3.14 eV/atom

a b c (Å): 4.8889 4.8889 4.9273
angles (deg): 90.00 90.00 90.00
Sites, in units of the cell vectors:
I1 0.0000 0.0000 0.5000
Sb1 0.5000 0.0000 0.0000
Sb2 0.0000 0.5000 0.0000
Be1 0.0000 0.0000 0.0000
Au1 0.5000 0.5000 0.5000

***

CaV2Ni2P4O18: relaxed, GGA-PBEsol.

Results
Raw formation energy = -2095 meV/atom
Uncorrected energy = -7.70 eV/atom

a b c (Å): 6.2842 7.6680 13.6201
angles (deg): 90.00 90.00 90.00
Sites, in units of the cell vectors:
O1 0.0000 0.5987 0.0485
O2 0.0000 0.4013 0.5485
O3 0.5000 0.8985 0.9520
O4 0.7015 0.8125 0.1376
O5 0.2985 0.8125 0.1376
O6 0.0000 0.9204 0.0064
O7 0.5000 0.1015 0.4520
O8 0.7956 0.6758 0.8648
O9 0.2044 0.3242 0.3648
O10 0.1903 0.0943 0.8728
O11 0.8097 0.9057 0.3728
O12 0.0000 0.4912 0.7403
O13 0.5000 0.9935 0.7566
O14 0.0000 0.2482 0.0122
O15 0.0000 0.5088 0.2403
O16 0.5000 0.5762 0.0024
O17 0.2985 0.1875 0.6376
O18 0.2044 0.6758 0.8648
O19 0.5000 0.2422 0.9848
O20 0.5000 0.0065 0.2566
O21 0.0000 0.2030 0.2176
O22 0.1903 0.9057 0.3728
O23 0.7956 0.3242 0.3648
O24 0.0000 0.7970 0.7176
O25 0.5000 0.7032 0.2908
O26 0.7006 0.6129 0.6195
O27 0.5000 0.4238 0.5024
O28 0.7015 0.1875 0.6376
O29 0.8097 0.0943 0.8728
O30 0.0000 0.7518 0.5122
O31 0.5000 0.7578 0.4848
O32 0.7006 0.3871 0.1195
O33 0.2994 0.3871 0.1195
O34 0.0000 0.0796 0.5064
O35 0.5000 0.2968 0.7908
O36 0.2994 0.6129 0.6195
Ni1 0.2521 0.7419 0.9984
Ni2 0.7479 0.2581 0.4984
Ni3 0.7479 0.7419 0.9984
Ni4 0.2521 0.2581 0.4984
V1 0.5000 0.9163 0.3845
V2 0.0000 0.5875 0.6162
V3 0.5000 0.0837 0.8845
V4 0.0000 0.4125 0.1162
P1 0.5000 0.1772 0.7007
P2 0.5000 0.8228 0.2007
P3 0.0000 0.6662 0.8064
P4 0.5000 0.3999 0.0561
P5 0.0000 0.0903 0.9453
P6 0.5000 0.6001 0.5561
P7 0.0000 0.3338 0.3064
P8 0.0000 0.9097 0.4453
Ca1 0.0000 0.9095 0.2132
Ca2 0.0000 0.0905 0.7132

***

Mg2TlPb: relaxed, GGA-PBEsol.

Results
Uncorrected energy = -2.60 eV/atom
Calculated formation energy = -79 meV/atom

a b c (Å): 3.3953 4.2119 7.6315
angles (deg): 90.00 115.98 90.00
Sites, in units of the cell vectors:
Tl1 0.0000 0.5000 0.5000
Pb1 0.5000 0.5000 0.0000
Mg1 0.7426 0.0000 0.7420
Mg2 0.2574 0.0000 0.2580

***

Si2HgNO: relaxed, GGA-PBEsol.

Results
Raw formation energy = 867 meV/atom
Uncorrected energy = -4.30 eV/atom

a b c (Å): 4.0061 4.0978 4.0978
angles (deg): 90.00 90.00 90.00
Sites, in units of the cell vectors:
Hg1 0.5000 0.5000 0.5000
Si1 0.0000 0.0000 0.5000
Si2 0.0000 0.5000 0.0000
N1 0.5000 0.0000 0.0000
O1 0.0000 0.0000 0.0000

***

Sr2CdP: relaxed, GGA-PBEsol.

Results
Uncorrected energy = -3.05 eV/atom
Calculated formation energy = -382 meV/atom

a b c (Å): 4.5169 4.5169 6.2610
angles (deg): 90.00 90.00 90.00
Sites, in units of the cell vectors:
Sr1 0.5000 0.5000 0.3739
Sr2 0.0000 0.0000 0.8758
Cd1 0.0000 0.0000 0.3766
P1 0.5000 0.5000 0.8737